Entry 1:
NdB4C4 | PBE | relaxed Values from VASP.

The structure in Quantum ESPRESSO input format:
```
&SYSTEM
  ibrav = 0, nat = 18, ntyp = 3
/
ATOMIC_SPECIES
Nd 144.24 Nd.upf
B 10.81 B.upf
C 12.01 C.upf
CELL_PARAMETERS angstrom
2.853 0.000 0.000
0.000 7.215 0.000
0.000 0.000 7.215
ATOMIC_POSITIONS crystal
Nd 0.000 0.000 0.000
Nd 0.500 0.500 0.500
B 0.500 0.315 0.868
B 0.000 0.632 0.815
B 0.500 0.685 0.132
B 0.000 0.185 0.632
B 0.500 0.868 0.685
B 0.000 0.815 0.368
B 0.000 0.368 0.185
B 0.500 0.132 0.315
C 0.500 0.898 0.291
C 0.500 0.102 0.709
C 0.000 0.791 0.602
C 0.000 0.398 0.791
C 0.000 0.602 0.209
C 0.500 0.291 0.102
C 0.500 0.709 0.898
C 0.000 0.209 0.398
```

## Properties
The symmetry is I4/m (87). The value obtained for the electronic total energy is -66.63 eV/f.u.


Entry 2:
Na2LaP | PBE | relaxed Values from VASP.

The structure in Quantum ESPRESSO input format:
```
&SYSTEM
  ibrav = 0, nat = 8, ntyp = 3
/
ATOMIC_SPECIES
P 30.97 P.upf
Na 22.99 Na.upf
La 138.91 La.upf
CELL_PARAMETERS angstrom
4.258 0.000 0.000
0.000 4.258 0.000
2.129 2.129 12.762
ATOMIC_POSITIONS crystal
P 0.500 0.500 0.000
P 0.250 0.750 0.500
Na 0.598 0.125 0.250
Na 0.152 0.625 0.250
Na 0.375 0.402 0.750
Na 0.875 0.848 0.750
La 0.000 0.000 0.000
La 0.750 0.250 0.500
```

## Properties
The symmetry is I-42d (122). The value obtained for the electronic total energy is -14.50 eV/f.u.


Entry 3:
LiTe2Au | PBE | relaxed Values from VASP.

The structure in Quantum ESPRESSO input format:
```
&SYSTEM
  ibrav = 0, nat = 4, ntyp = 3
/
ATOMIC_SPECIES
Au 196.97 Au.upf
Li 6.94 Li.upf
Te 127.60 Te.upf
CELL_PARAMETERS angstrom
-2.953 2.385 1.444
-3.559 -2.288 -3.500
-0.958 -2.941 2.898
ATOMIC_POSITIONS crystal
Au 0.500 0.000 0.500
Li 0.000 0.500 0.500
Te 0.000 0.000 0.000
Te 0.500 0.500 0.000
```

## Properties
The symmetry is Pmmm (47). As for the uncorrected formation energy: -0.184 eV/atom. The value obtained for the electronic total energy is -12.21 eV/f.u.


Entry 4:
MgCd2Bi2 | PBE | relaxed Values from VASP.

The structure in Quantum ESPRESSO input format:
```
&SYSTEM
  ibrav = 0, nat = 10, ntyp = 3
/
ATOMIC_SPECIES
Mg 24.30 Mg.upf
Bi 208.98 Bi.upf
Cd 112.41 Cd.upf
CELL_PARAMETERS angstrom
7.864 0.000 0.000
0.000 7.864 0.000
0.000 0.000 4.440
ATOMIC_POSITIONS crystal
Mg 0.000 0.000 0.000
Mg 0.500 0.500 0.000
Bi 0.180 0.680 0.500
Bi 0.680 0.820 0.500
Bi 0.820 0.320 0.500
Bi 0.320 0.180 0.500
Cd 0.370 0.870 0.000
Cd 0.870 0.630 0.000
Cd 0.630 0.130 0.000
Cd 0.130 0.370 0.000
```

## Properties
As for the energy above the most stable polymorph in this dataset: 73.1 meV/atom. The symmetry is P4/mbm (127). The value obtained for the electronic total energy is -10.77 eV/f.u.


Entry 5:
RbLiB3 | PBE | relaxed Values from VASP.

The structure in Quantum ESPRESSO input format:
```
&SYSTEM
  ibrav = 0, nat = 5, ntyp = 3
/
ATOMIC_SPECIES
B 10.81 B.upf
Rb 85.47 Rb.upf
Li 6.94 Li.upf
CELL_PARAMETERS angstrom
5.167 0.000 0.000
0.000 5.167 0.000
0.000 0.000 5.167
ATOMIC_POSITIONS crystal
B 0.000 0.500 0.000
B 0.000 0.000 0.500
B 0.500 0.000 0.000
Rb 0.000 0.000 0.000
Li 0.500 0.500 0.500
```

## Properties
As for the energy above the most stable polymorph in this dataset: 1017.4 meV/atom. The symmetry is Pm-3m (221). The value obtained for the electronic total energy is -7.38 eV/f.u.


Entry 6:
CsTmMgI6 | PBE | relaxed Values from VASP.

The structure in Quantum ESPRESSO input format:
```
&SYSTEM
  ibrav = 0, nat = 9, ntyp = 4
/
ATOMIC_SPECIES
Cs 132.91 Cs.upf
Tm 168.93 Tm.upf
Mg 24.30 Mg.upf
I 126.90 I.upf
CELL_PARAMETERS angstrom
-4.049 -4.483 -4.784
2.400 -7.160 -1.531
-4.691 -3.025 6.801
ATOMIC_POSITIONS crystal
Cs 0.000 0.000 0.000
Tm 0.667 0.667 0.500
Mg 0.333 0.333 0.500
I 0.005 0.367 0.304
I 0.367 0.005 0.696
I 0.627 0.368 0.696
I 0.005 0.627 0.696
I 0.368 0.627 0.304
I 0.627 0.005 0.304
```

## Properties
The symmetry is P312 (149). As for the uncorrected formation energy: -1.307 eV/atom. The value obtained for the electronic total energy is -27.98 eV/f.u.


Entry 7:
MgSnAs2 | PBE | relaxed Values from VASP.

The structure in Quantum ESPRESSO input format:
```
&SYSTEM
  ibrav = 0, nat = 4, ntyp = 3
/
ATOMIC_SPECIES
Mg 24.30 Mg.upf
As 74.92 As.upf
Sn 118.71 Sn.upf
CELL_PARAMETERS angstrom
0.000 3.519 3.519
3.519 0.000 3.519
3.519 3.519 0.000
ATOMIC_POSITIONS crystal
Mg 0.000 0.000 0.000
As 0.250 0.250 0.250
As 0.750 0.750 0.750
Sn 0.500 0.500 0.500
```

## Properties
As for the energy above the most stable polymorph in this dataset: 344.8 meV/atom. The symmetry is Fm-3m (225). The value obtained for the electronic total energy is -14.79 eV/f.u.


Entry 8:
ScHg4Au | PBE | relaxed Values from VASP.

The structure in Quantum ESPRESSO input format:
```
&SYSTEM
  ibrav = 0, nat = 6, ntyp = 3
/
ATOMIC_SPECIES
Sc 44.96 Sc.upf
Hg 200.59 Hg.upf
Au 196.97 Au.upf
CELL_PARAMETERS angstrom
0.000 4.113 4.113
4.113 0.000 4.113
4.113 4.113 0.000
ATOMIC_POSITIONS crystal
Sc 0.750 0.750 0.750
Hg 0.875 0.375 0.375
Hg 0.375 0.375 0.875
Hg 0.375 0.875 0.375
Hg 0.375 0.375 0.375
Au 0.000 0.000 0.000
```

## Properties
The symmetry is F-43m (216). The value obtained for the electronic total energy is -9.91 eV/f.u.